First-principles (PBE-GGA) data for TmFeB4 after structural relaxation, as listed in OQMD.

The excess energy over the best structure of this formula in the dataset comes out at 0.000 eV/atom.

The space group is P6/mmm (No. 191) and the conventional cell measures 3.1182, 3.1182 and 6.5773 Å, with angles of 90.00, 90.00 and 120.00 degrees. The distinct sites, in fractional coordinates, are Tm at (0.0000, 0.0000, 0.0000), Fe at (0.0000, 0.0000, 0.5000) and B at (0.3333, 0.6667, 0.2873).

---

First-principles (PBE-GGA) data for TmFe4B4 after structural relaxation, as listed in OQMD.

As for the total energy: -7.615 eV/atom.

The space group is P4_2/nmc (No. 137, origin choice 2) and the conventional cell measures 5.004, 5.004 and 6.917 Å, with angles of 90.00, 90.00 and 90.00 degrees. The distinct sites, in fractional coordinates, are Tm at (0.250, 0.750, 0.250), Fe at (0.007, 0.750, 0.617) and B at (0.074, 0.250, 0.093).

---

First-principles (PBE-GGA) data for TmFe4B after structural relaxation, as listed in OQMD.

As for the total energy: -7.656 eV/atom.

The space group is P6/mmm (No. 191) and the conventional cell measures 5.0239, 5.0239 and 7.0056 Å, with angles of 90.00, 90.00 and 120.00 degrees. The distinct sites, in fractional coordinates, are Tm at (0.0000, 0.0000, 0.0000), Tm at (0.0000, 0.0000, 0.5000), Fe at (0.0000, 0.5000, 0.2140), Fe at (0.3333, 0.6667, 0.5000) and B at (0.3333, 0.6667, 0.0000).

---

First-principles (PBE-GGA) data for YTmFe8B2 after structural relaxation, as listed in OQMD.

The excess energy over the best structure of this formula in the dataset comes out at 0.008 eV/atom.

The space group is P6/mmm (No. 191) and the conventional cell measures 5.0417, 5.0417 and 7.0174 Å, with angles of 90.00, 90.00 and 120.00 degrees. The distinct sites, in fractional coordinates, are Y at (0.0000, 0.0000, 0.0000), Tm at (0.0000, 0.0000, 0.5000), Fe at (0.0000, 0.5000, 0.2147), Fe at (0.3333, 0.6667, 0.5000) and B at (0.3333, 0.6667, 0.0000).

---

First-principles (PBE-GGA) data for YTmFe8B2 after structural relaxation, as listed in OQMD.

The excess energy over the best structure of this formula in the dataset comes out at 0.000 eV/atom.

The space group is P6/mmm (No. 191) and the conventional cell measures 5.0397, 5.0397 and 7.0229 Å, with angles of 90.00, 90.00 and 120.00 degrees. The distinct sites, in fractional coordinates, are Y at (0.0000, 0.0000, 0.0000), Tm at (0.0000, 0.0000, 0.5000), Fe at (0.0000, 0.5000, 0.2862), Fe at (0.3333, 0.6667, 0.0000) and B at (0.3333, 0.6667, 0.5000).

---

First-principles (PBE-GGA) data for UFe4B4 after structural relaxation, as listed in OQMD.

As for the total energy: -8.356 eV/atom.

The space group is P4_2/nmc (No. 137, origin choice 2) and the conventional cell measures 5.041, 5.041 and 6.862 Å, with angles of 90.00, 90.00 and 90.00 degrees. The distinct sites, in fractional coordinates, are U at (0.250, 0.750, 0.250), Fe at (0.007, 0.750, 0.611) and B at (0.077, 0.250, 0.094).